First-principles (PBE-GGA) data for a geometry-optimized PuPaIr2 structure, as listed in Alexandria via LeMat-Bulk.

Results
Its space-group type is No. 166. The energy above the lowest structure with this stoichiometry comes out at 80 meV/atom. The calculation puts the formation enthalpy at 0 K at -2.5 eV per formula unit. The calculation puts the volume at 22.53 Å³ per atom. The energy comes out at -11.01 eV/atom.

Lattice parameters (Å, degrees): 6.951 6.951 6.951 33.30 33.30 33.30
Element x y z (fractional)
Pu 0.000 0.000 0.000
Pa 0.500 0.500 0.500
Ir 0.249 0.249 0.249
Ir 0.751 0.751 0.751